#one
The following is a PBE calculation of CaTcOs2 after structural relaxation, from the Alexandria database.

a = 5.941 Å, b = 5.941 Å, c = 5.941 Å
α = 102.21°, β = 102.21°, γ = 125.25°
Fractional positions:
Ca  0.000  0.000  0.000
Ca  0.750  0.250  0.500
Tc  0.250  0.750  0.500
Tc  0.500  0.500  0.000
Os  0.182  0.125  0.557
Os  0.375  0.818  0.943
Os  0.568  0.625  0.443
Os  0.875  0.432  0.057

=====

#two
The following is a PBE calculation of CaTcOs2 after structural relaxation, from the Alexandria database.

a = 2.834 Å, b = 3.668 Å, c = 6.816 Å
α = 90.00°, β = 90.00°, γ = 90.00°
Fractional positions:
Ca  0.000  0.000  0.000
Tc  0.000  0.000  0.500
Os  0.500  0.500  0.307
Os  0.500  0.500  0.693

=====

It is #two that is the most stable of them.